No. 1
Compound: YAsW2
Source: OQMD
Functional: PBE
Structure: optimized geometry

For the spin magnetization, the calculation gives 0.01 Bohr magnetons per cell. As for the total energy: -142.0 eV for the cell shown.

It has space group F-43m (No. 216), with a = 6.6418 Å, b = 6.6418 Å, c = 6.6418 Å, α = 90.00°, β = 90.00° and γ = 90.00°. Symmetry generates all atoms from Y at (0.0000, 0.0000, 0.0000), As at (0.2500, 0.2500, 0.7500), W at (0.0000, 0.0000, 0.5000) and W at (0.2500, 0.2500, 0.2500).

No. 2
Compound: YAsW
Source: OQMD
Functional: PBE
Structure: optimized geometry

The value obtained for the distance to the lowest polymorph of the same formula is 0.0 meV/atom. For the spin magnetization, the calculation gives 0.07 Bohr magnetons per cell.

It has space group F-43m (No. 216), with a = 6.3547 Å, b = 6.3547 Å, c = 6.3547 Å, α = 90.00°, β = 90.00° and γ = 90.00°. Symmetry generates all atoms from Y at (0.0000, 0.0000, 0.0000), As at (0.2500, 0.2500, 0.7500) and W at (0.0000, 0.0000, 0.5000).

No. 3
Compound: YAs2W2
Source: OQMD
Functional: PBE
Structure: optimized geometry

For the spin magnetization, the calculation gives 0.06 Bohr magnetons per cell. As for the total energy: -85.3 eV for the cell shown.

It has space group I4/mmm (No. 139), with a = 3.8332 Å, b = 3.8332 Å, c = 13.1947 Å, α = 90.00°, β = 90.00° and γ = 90.00°. Symmetry generates all atoms from Y at (0.0000, 0.0000, 0.0000), As at (0.0000, 0.0000, 0.3867) and W at (0.0000, 0.5000, 0.2500).

No. 4
Compound: Zn2AsW
Source: OQMD
Functional: PBE
Structure: optimized geometry

For the spin magnetization, the calculation gives 0.07 Bohr magnetons per cell. As for the total energy: -71.7 eV for the cell shown.

It has space group F-43m (No. 216), with a = 6.2917 Å, b = 6.2917 Å, c = 6.2917 Å, α = 90.00°, β = 90.00° and γ = 90.00°. Symmetry generates all atoms from Zn at (0.0000, 0.0000, 0.0000), Zn at (0.2500, 0.2500, 0.2500), As at (0.0000, 0.0000, 0.5000) and W at (0.2500, 0.2500, 0.7500).

No. 5
Compound: ZrAsW2
Source: OQMD
Functional: PBE
Structure: optimized geometry

For the spin magnetization, the calculation gives 0.04 Bohr magnetons per cell. As for the total energy: -152.1 eV for the cell shown.

It has space group F-43m (No. 216), with a = 6.5115 Å, b = 6.5115 Å, c = 6.5115 Å, α = 90.00°, β = 90.00° and γ = 90.00°. Symmetry generates all atoms from Zr at (0.0000, 0.0000, 0.0000), As at (0.2500, 0.2500, 0.7500), W at (0.0000, 0.0000, 0.5000) and W at (0.2500, 0.2500, 0.2500).

No. 6
Compound: Zr2AsW
Source: OQMD
Functional: PBE
Structure: optimized geometry

For the spin magnetization, the calculation gives 0.01 Bohr magnetons per cell. As for the total energy: -137.2 eV for the cell shown.

It has space group F-43m (No. 216), with a = 6.6420 Å, b = 6.6420 Å, c = 6.6420 Å, α = 90.00°, β = 90.00° and γ = 90.00°. Symmetry generates all atoms from Zr at (0.0000, 0.0000, 0.0000), Zr at (0.2500, 0.2500, 0.2500), As at (0.0000, 0.0000, 0.5000) and W at (0.2500, 0.2500, 0.7500).

- Look up the spin magnetization of the first one.
  0.01 Bohr magnetons per cell

- What is the spin magnetization in the first record?
  0.01 Bohr magnetons per cell